Material: SmDyGaSn
Method: DFT, PBE
State: optimized geometry

a = 5.2695 Å, b = 5.2695 Å, c = 5.2695 Å
α = 60.00°, β = 60.00°, γ = 60.00°
Sites, in units of the cell vectors:
Sm (0.5000, 0.5000, 0.5000)
Sn (0.2500, 0.2500, 0.2500)
Ga (0.7500, 0.7500, 0.7500)
Dy (0.0000, 0.0000, 0.0000)

## Properties
Calculated formation energy in eV/f.u.: -2.205
Fermi-level density of states in states/eV/f.u.: 2.68
Excess energy over the best structure of this formula in the dataset in eV/f.u.: 0.62


Material: Sc4GaAs
Method: DFT, PBE
State: optimized geometry

a = 6.4566 Å, b = 6.4568 Å, c = 7.9292 Å
α = 113.99°, β = 113.99°, γ = 90.03°
Sites, in units of the cell vectors:
Sc (0.2515, 0.0004, 0.5001)
As (0.1250, 0.8750, 0.7500)
Sc (0.7485, 0.9996, 0.4999)
Sc (0.0003, 0.7486, 0.0003)
Sc (0.2512, 0.5001, 0.4998)
Sc (0.9997, 0.2514, 0.9997)
Sc (0.5001, 0.7485, 0.9997)
Sc (0.7488, 0.4999, 0.5002)
Ga (0.6250, 0.3750, 0.7500)
As (0.8750, 0.1250, 0.2500)
Sc (0.4999, 0.2515, 0.0003)
Ga (0.3750, 0.6250, 0.2500)

## Properties
Calculated formation energy in eV/f.u.: -3.378
Fermi-level density of states in states/eV/f.u.: 6.20


Material: FeRe2Rh
Method: DFT, PBE
State: optimized geometry

a = 4.6559 Å, b = 4.6559 Å, c = 4.7289 Å
α = 81.17°, β = 81.17°, γ = 33.48°
Site moments in Bohr magnetons follow the coordinates.
Sites, in units of the cell vectors:
Re (0.7523, 0.7523, 0.7465)  -0.12
Re (0.9963, 0.9963, 0.0097)  -0.12
Rh (0.4988, 0.4988, 0.4949)  0.06
Fe (0.2526, 0.2526, 0.2490)  2.04

## Properties
Calculated formation energy in eV/f.u.: 0.149
Fermi-level density of states in states/eV/f.u.: 3.54
Excess energy over the best structure of this formula in the dataset in eV/f.u.: 0.18


Material: Ca2RuBr
Method: DFT, PBE
State: optimized geometry

a = 5.1349 Å, b = 5.1349 Å, c = 5.1349 Å
α = 60.00°, β = 60.00°, γ = 60.00°
Site moments in Bohr magnetons follow the coordinates.
Sites, in units of the cell vectors:
Ru (0.5000, 0.5000, 0.5000)  1.00
Ca (0.2500, 0.2500, 0.2500)  -0.03
Br (0.0000, 0.0000, 0.0000)  0.05
Ca (0.7500, 0.7500, 0.7500)  -0.03

## Properties
Raw formation energy in kJ/mol of atoms: -11.8
Fermi-level density of states in states/eV/f.u.: 3.16
Excess energy over the best structure of this formula in the dataset in eV/f.u.: 1.55


Material: CoRuAu2
Method: DFT, PBE
State: optimized geometry

a = 4.8847 Å, b = 6.2175 Å, c = 2.7604 Å
α = 63.76°, β = 89.93°, γ = 120.76°
Site moments in Bohr magnetons follow the coordinates.
Sites, in units of the cell vectors:
Ru (0.5000, 0.0000, 0.5000)  0.87
Au (0.0000, 0.5000, 0.5000)  0.04
Co (0.5000, 0.5000, 0.0000)  1.96
Au (0.0000, 0.0000, 0.0000)  0.04

## Properties
Calculated formation energy in eV/f.u.: 1.576
Fermi-level density of states in states/eV/f.u.: 4.50


Material: CoAsBr2Cl
Method: DFT, PBE
State: optimized geometry

a = 4.8726 Å, b = 4.8726 Å, c = 4.6825 Å
α = 90.00°, β = 90.00°, γ = 90.00°
Site moments in Bohr magnetons follow the coordinates.
Sites, in units of the cell vectors:
As (0.0000, 0.0000, 0.5000)  -0.06
Br (0.0000, 0.5000, 0.0000)  0.07
Br (0.5000, 0.0000, 0.0000)  0.07
Cl (0.5000, 0.5000, 0.5000)  0.07
Co (0.0000, 0.0000, 0.0000)  0.91

## Properties
Raw formation energy in kJ/mol of atoms: 24.9
Fermi-level density of states in states/eV/f.u.: 5.47


Material: Nd6Dy2Ho3In
Method: DFT, PBE
State: optimized geometry

a = 6.2070 Å, b = 6.2070 Å, c = 11.8084 Å
α = 95.07°, β = 95.07°, γ = 120.14°
Sites, in units of the cell vectors:
Ho (0.8324, 0.1676, 0.5000)
Nd (0.5902, 0.9177, 0.7517)
Nd (0.4098, 0.0823, 0.2483)
Dy (0.6663, 0.3337, 0.0000)
Nd (0.2446, 0.2446, 0.7504)
Dy (0.3337, 0.6663, 0.0000)
Nd (0.9177, 0.5902, 0.7517)
Nd (0.7554, 0.7554, 0.2496)
In (0.0000, 0.0000, 0.0000)
Ho (0.5000, 0.5000, 0.5000)
Ho (0.1676, 0.8324, 0.5000)
Nd (0.0823, 0.4098, 0.2483)

## Properties
Calculated formation energy in eV/f.u.: -0.431
Fermi-level density of states in states/eV/f.u.: 13.63


Material: MgTl2AsAu
Method: DFT, PBE
State: optimized geometry

a = 5.4209 Å, b = 5.1374 Å, c = 5.4209 Å
α = 90.00°, β = 90.00°, γ = 90.00°
Sites, in units of the cell vectors:
Mg (0.0000, 0.5000, 0.0000)
Tl (0.5000, 0.0000, 0.0000)
Au (0.0000, 0.0000, 0.0000)
As (0.5000, 0.5000, 0.5000)
Tl (0.0000, 0.0000, 0.5000)

## Properties
Calculated formation energy in eV/f.u.: 1.331
Fermi-level density of states in states/eV/f.u.: 3.37


Material: CrCdAu2
Method: DFT, PBE
State: optimized geometry

a = 7.5400 Å, b = 7.5400 Å, c = 6.0304 Å
α = 51.31°, β = 51.31°, γ = 90.00°
Site moments in Bohr magnetons follow the coordinates.
Sites, in units of the cell vectors:
Cd (0.7500, 0.2500, 0.5000)  0.02
Cr (0.2500, 0.7500, 0.5000)  3.69
Au (0.1383, 0.6250, 0.2500)  0.05
Cr (0.5000, 0.5000, 0.0000)  3.69
Au (0.3750, 0.3883, 0.7500)  0.06
Au (0.6117, 0.1250, 0.2500)  0.05
Au (0.8750, 0.8617, 0.7500)  0.06
Cd (0.0000, 0.0000, 0.0000)  0.02

## Properties
Calculated formation energy in eV/f.u.: 0.970
Fermi-level density of states in states/eV/f.u.: 1.30


Material: FeAg4Pt
Method: DFT, PBE
State: optimized geometry

a = 5.3217 Å, b = 5.3217 Å, c = 5.3217 Å
α = 60.00°, β = 60.00°, γ = 60.00°
Site moments in Bohr magnetons follow the coordinates.
Sites, in units of the cell vectors:
Ag (0.8750, 0.3750, 0.3750)  0.00
Ag (0.3750, 0.3750, 0.3750)  0.00
Ag (0.3750, 0.8750, 0.3750)  0.00
Pt (0.0000, 0.0000, 0.0000)  0.14
Fe (0.7500, 0.7500, 0.7500)  3.26
Ag (0.3750, 0.3750, 0.8750)  0.00

## Properties
Calculated formation energy in eV/f.u.: 2.899
Fermi-level density of states in states/eV/f.u.: 4.56


Material: NdReCl
Method: DFT, PBE
State: optimized geometry

a = 4.1595 Å, b = 4.1595 Å, c = 11.4235 Å
α = 88.34°, β = 88.34°, γ = 60.02°
Sites, in units of the cell vectors:
Re (0.3343, 0.3343, 0.4813)
Cl (0.6850, 0.6850, 0.1539)
Nd (0.0107, 0.0107, 0.3020)
Re (0.6657, 0.6657, 0.5187)
Nd (0.9893, 0.9893, 0.6980)
Cl (0.3150, 0.3150, 0.8461)

## Properties
Raw formation energy in kJ/mol of atoms: -97.1
Fermi-level density of states in states/eV/f.u.: 1.97


Material: Tb6NdY3Er2
Method: DFT, PBE
State: optimized geometry

a = 6.1698 Å, b = 6.1698 Å, c = 11.8177 Å
α = 94.97°, β = 94.97°, γ = 119.95°
Sites, in units of the cell vectors:
Tb (0.7499, 0.7499, 0.2497)
Y (0.1670, 0.8330, 0.5000)
Y (0.5000, 0.5000, 0.5000)
Y (0.8330, 0.1670, 0.5000)
Tb (0.2501, 0.2501, 0.7503)
Tb (0.9159, 0.5818, 0.7501)
Er (0.6667, 0.3333, 0.0000)
Er (0.3333, 0.6667, 0.0000)
Tb (0.5818, 0.9159, 0.7501)
Tb (0.4182, 0.0841, 0.2499)
Tb (0.0841, 0.4182, 0.2499)
Nd (0.0000, 0.0000, 0.0000)

## Properties
Calculated formation energy in eV/f.u.: 0.210
Fermi-level density of states in states/eV/f.u.: 16.01


Q: The lowest Fermi-level density of states belongs to which entry?
A: CrCdAu2


Q: Which value of Fermi-level density of states does entry 12 give?
A: 16.01 states/eV/f.u.